[1]
Here is Sr2HfMn after structural relaxation from Alexandria via LeMat-Bulk. Energies are from PBE.

```
Sr2HfMn
1.0
11.7829 0.0000 0.0000
0.0000 11.7829 0.0000
5.8915 5.8915 2.2573
Sr Mn Hf
4 2 2
direct
0.4517 0.1250 0.2500
0.2983 0.6250 0.2500
0.3750 0.5483 0.7500
0.8750 0.7017 0.7500
0.5000 0.5000 0.0000
0.2500 0.7500 0.5000
0.0000 0.0000 0.0000
0.7500 0.2500 0.5000
```

Computed properties:
formation enthalpy at 0 K = 0.889 eV/atom
VASP energy = -4.733 eV per atom
polymorph energy (0 for the lowest one) = 0 meV/atom



[2]
Here is ZnInSn2 after structural relaxation from Alexandria via LeMat-Bulk. Energies are from PBE.

```
ZnInSn2
1.0
0.0000 3.6824 3.6824
3.6824 0.0000 3.6824
3.6824 3.6824 0.0000
Zn Sn In
1 2 1
direct
0.0000 0.0000 0.0000
0.2500 0.2500 0.2500
0.7500 0.7500 0.7500
0.5000 0.5000 0.5000
```

Computed properties:
formation enthalpy at 0 K = 0.127 eV/atom
VASP energy = -2.878 eV per atom
polymorph energy (0 for the lowest one) = 42 meV/atom



[3]
Here is MgTiH4 after structural relaxation from Alexandria via LeMat-Bulk. Energies are from PBE.

```
MgTiH4
1.0
4.1609 0.0000 -1.8711
-0.8414 4.0750 -1.8711
-0.0442 -0.0543 5.4636
Mg Ti H
2 2 8
direct
0.0000 0.0000 0.0000
0.7500 0.2500 0.5000
0.2500 0.7500 0.5000
0.5000 0.5000 0.0000
0.1431 0.1250 0.7500
0.8750 0.8569 0.2500
0.1431 0.6250 0.7500
0.3750 0.3931 0.2500
0.6069 0.1250 0.7500
0.6069 0.6250 0.7500
0.3750 0.8569 0.2500
0.8750 0.3931 0.2500
```

Computed properties:
VASP energy = -4.130 eV per atom
polymorph energy (0 for the lowest one) = 0 meV/atom



[4]
Here is Rb2MnPtN after structural relaxation from Alexandria via LeMat-Bulk. Energies are from PBE.

```
Rb2MnPtN
1.0
-0.7266 -3.3051 5.6894
4.3635 -1.8675 -0.5276
2.5901 5.1182 3.3041
Mn Rb Pt N
1 2 1 1
direct
0.0000 0.0000 0.0000
0.0000 0.0000 0.5000
0.5000 0.0000 0.0000
0.0000 0.5000 0.0000
0.5000 0.5000 0.5000
```

Computed properties:
formation energy without anion corrections = 1.2376 eV/atom
VASP energy = -3.857 eV per atom



[5]
Here is ZrScMn17 after structural relaxation from Alexandria via LeMat-Bulk. Energies are from PBE.

```
ZrScMn17
1.0
-6.0424 1.1507 -0.7277
-2.2301 -4.7407 3.3040
-1.0000 2.9982 5.3268
Zr Sc Mn
1 1 17
direct
0.6543 0.6543 0.6543
0.3443 0.3443 0.3443
0.2986 0.9987 0.7031
0.7031 0.2986 0.9987
0.9987 0.7031 0.2986
0.2986 0.7031 0.9987
0.9987 0.2986 0.7031
0.7031 0.9987 0.2986
0.3428 0.8434 0.3428
0.3428 0.3428 0.8434
0.8434 0.3428 0.3428
0.6559 0.1569 0.6559
0.6559 0.6559 0.1569
0.1569 0.6559 0.6559
0.0010 0.5012 0.0010
0.0010 0.0010 0.5012
0.5012 0.0010 0.0010
0.9087 0.9087 0.9087
0.0911 0.0911 0.0911
```

Computed properties:
formation enthalpy at 0 K = -0.010 eV/atom
VASP energy = -8.998 eV per atom



[6]
Here is Dy2Y3Tm6Pu after structural relaxation from Alexandria via LeMat-Bulk. Energies are from PBE.

```
Dy2Y3Tm6Pu
1.0
-1.8914 -5.5564 1.5923
2.9491 0.8186 -5.2554
9.5847 -0.2861 6.5089
Dy Y Tm Pu
2 3 6 1
direct
0.3334 0.6666 0.0000
0.6666 0.3334 0.0000
0.1673 0.8327 0.5000
0.8327 0.1673 0.5000
0.5000 0.5000 0.5000
0.9178 0.5885 0.7529
0.7528 0.7528 0.2471
0.0822 0.4115 0.2471
0.5885 0.9178 0.7529
0.2472 0.2472 0.7529
0.4115 0.0822 0.2471
0.0000 0.0000 0.0000
```

Computed properties:
formation enthalpy at 0 K = 0.048 eV/atom
VASP energy = -5.765 eV per atom



[7]
Here is SrNiGe2 after structural relaxation from Alexandria via LeMat-Bulk. Energies are from PBE.

```
SrNiGe2
1.0
5.0062 0.0000 0.0000
0.0000 5.0062 0.0000
2.5031 2.5031 7.8525
Sr Ge Ni
2 4 2
direct
0.0000 0.0000 0.0000
0.7500 0.2500 0.5000
0.3753 0.1250 0.2500
0.3747 0.6250 0.2500
0.3750 0.6247 0.7500
0.8750 0.6253 0.7500
0.5000 0.5000 0.0000
0.2500 0.7500 0.5000
```

Computed properties:
formation enthalpy at 0 K = -0.305 eV/atom
VASP energy = -4.479 eV per atom



[8]
Here is LaSm2Co after structural relaxation from Alexandria via LeMat-Bulk. Energies are from PBE.

```
LaSm2Co
1.0
-2.9297 1.8877 0.2255
-1.6730 -2.7567 1.3412
2.3892 2.6914 8.5119
Co Sm La
1 2 1
direct
0.5000 0.5000 0.0000
0.0000 0.0000 0.8231
0.0000 0.0000 0.1769
0.5000 0.5000 0.5000
```

Computed properties:
formation enthalpy at 0 K = 0.008 eV/atom
VASP energy = -5.360 eV per atom
polymorph energy (0 for the lowest one) = 115 meV/atom



[9]
Here is K2TlHgSb after structural relaxation from Alexandria via LeMat-Bulk. Energies are from PBE.

```
K2TlHgSb
1.0
6.7567 0.0000 0.0000
0.0000 6.7567 0.0000
0.0000 0.0000 5.7400
K Sb Tl Hg
2 1 1 1
direct
0.0000 0.5000 0.0000
0.5000 0.0000 0.0000
0.0000 0.0000 0.0000
0.0000 0.0000 0.5000
0.5000 0.5000 0.5000
```

Computed properties:
formation energy without anion corrections = -0.0909 eV/atom
VASP energy = -1.888 eV per atom



[10]
Here is LiCd6Au after structural relaxation from Alexandria via LeMat-Bulk. Energies are from PBE.

```
LiCd6Au
1.0
4.6142 0.0000 0.0000
0.0000 6.0364 -0.6359
0.0000 -0.2529 6.0645
Li Cd Au
1 6 1
direct
0.5000 0.1059 0.8941
0.5000 0.1801 0.4000
0.5000 0.6000 0.8199
0.0000 0.4037 0.1892
0.0000 0.8108 0.5963
0.0000 0.3027 0.6973
0.0000 0.9012 0.0988
0.5000 0.6956 0.3044
```

Computed properties:
formation enthalpy at 0 K = -0.126 eV/atom
VASP energy = -1.461 eV per atom
polymorph energy (0 for the lowest one) = 0 meV/atom



[11]
Here is Tl2InMo after structural relaxation from Alexandria via LeMat-Bulk. Energies are from PBE.

```
Tl2InMo
1.0
-0.8950 1.0608 -2.7171
2.3375 -1.8604 -0.6197
-6.8155 -8.2394 -0.9718
In Mo Tl
1 1 2
direct
0.0000 0.0000 0.5361
0.5000 0.5000 0.7380
0.0000 0.0000 0.9612
0.5000 0.5000 0.2647
```

Computed properties:
formation enthalpy at 0 K = 0.483 eV/atom
VASP energy = -4.093 eV per atom
polymorph energy (0 for the lowest one) = 35 meV/atom



[12]
Here is LiCa2AgCl after structural relaxation from Alexandria via LeMat-Bulk. Energies are from PBE.

```
LiCa2AgCl
1.0
5.8397 0.0000 0.0000
0.0000 4.7124 0.0000
0.0000 0.0000 5.8397
Ca Li Ag Cl
2 1 1 1
direct
0.0000 0.0000 0.5000
0.5000 0.0000 0.0000
0.0000 0.5000 0.0000
0.0000 0.0000 0.0000
0.5000 0.5000 0.5000
```

Computed properties:
formation energy without anion corrections = -0.3762 eV/atom
VASP energy = -2.499 eV per atom
polymorph energy (0 for the lowest one) = 222 meV/atom



[13]
Here is GdErTlHg after structural relaxation from Alexandria via LeMat-Bulk. Energies are from PBE.

```
GdErTlHg
1.0
-1.9419 -3.7676 3.2077
2.0621 -4.8982 -0.1006
2.8941 -1.7501 4.1008
Tl Gd Hg Er
1 1 1 1
direct
0.0000 0.0000 0.0000
0.7500 0.7500 0.7500
0.5000 0.5000 0.5000
0.2500 0.2500 0.2500
```

Computed properties:
formation enthalpy at 0 K = -0.424 eV/atom
VASP energy = -5.752 eV per atom



[14]
Here is YCr2Ag after structural relaxation from Alexandria via LeMat-Bulk. Energies are from PBE.

```
YCr2Ag
1.0
4.1169 0.0000 0.0000
0.0000 4.1169 0.0000
2.0584 2.0584 9.8329
Y Cr Ag
2 4 2
direct
0.5000 0.5000 0.0000
0.2500 0.7500 0.5000
0.7991 0.1250 0.2500
0.9509 0.6250 0.2500
0.3750 0.2009 0.7500
0.8750 0.0491 0.7500
0.0000 0.0000 0.0000
0.7500 0.2500 0.5000
```

Computed properties:
formation enthalpy at 0 K = 0.846 eV/atom
VASP energy = -6.294 eV per atom
polymorph energy (0 for the lowest one) = 603 meV/atom



[15]
Here is TaRe3N after structural relaxation from Alexandria via LeMat-Bulk. Energies are from PBE.

```
TaRe3N
1.0
4.7543 0.0000 0.0000
0.0000 4.7543 0.0000
0.0000 0.0000 4.7543
Re N Ta
3 1 1
direct
0.0000 0.5000 0.0000
0.0000 0.0000 0.5000
0.5000 0.0000 0.0000
0.5000 0.5000 0.5000
0.0000 0.0000 0.0000
```

Computed properties:
formation energy without anion corrections = 3.6681 eV/atom
VASP energy = -7.836 eV per atom
polymorph energy (0 for the lowest one) = 3609 meV/atom



[16]
Here is CeY2ErS4 after structural relaxation from Alexandria via LeMat-Bulk. Energies are from PBE.

```
CeY2ErS4
1.0
-2.1844 -1.8420 -2.6743
-1.6798 -4.7327 4.6318
-4.5415 5.0683 0.2187
Ce Y Er S
1 2 1 4
direct
0.5000 0.5000 0.0000
0.5000 0.0000 0.5000
0.0000 0.5000 0.5000
0.0000 0.0000 0.0000
0.5000 0.2433 0.2495
0.5000 0.7567 0.7505
0.0000 0.2417 0.7452
0.0000 0.7583 0.2548
```

Computed properties:
formation energy without anion corrections = -2.0004 eV/atom
VASP energy = -6.992 eV per atom



[17]
Here is SiSn3W after structural relaxation from Alexandria via LeMat-Bulk. Energies are from PBE.

```
SiSn3W
1.0
5.2728 0.0000 0.0000
0.0000 5.2728 0.0000
0.0000 0.0000 5.2728
Si Sn W
1 3 1
direct
0.5000 0.5000 0.5000
0.0000 0.5000 0.0000
0.0000 0.0000 0.5000
0.5000 0.0000 0.0000
0.0000 0.0000 0.0000
```

Computed properties:
formation energy without anion corrections = 0.9144 eV/atom
VASP energy = -5.163 eV per atom
polymorph energy (0 for the lowest one) = 0 meV/atom



[18]
Here is Na4Au after structural relaxation from Alexandria via LeMat-Bulk. Energies are from PBE.

```
Na4Au
1.0
5.0326 0.0065 0.0000
-2.5053 6.2982 0.0000
0.0000 0.0000 9.7774
Na Au
8 2
direct
0.8841 0.2668 0.3756
0.6137 0.7261 0.8636
0.3863 0.2739 0.1364
0.1159 0.7332 0.6244
0.8863 0.2739 0.8636
0.3841 0.2668 0.6244
0.6159 0.7332 0.3756
0.1137 0.7261 0.1364
0.2500 0.0000 0.8876
0.7500 0.0000 0.1124
```

Computed properties:
formation enthalpy at 0 K = -0.121 eV/atom
VASP energy = -1.832 eV per atom
polymorph energy (0 for the lowest one) = 25 meV/atom



[19]
Here is KTlAu10 after structural relaxation from Alexandria via LeMat-Bulk. Energies are from PBE.

```
KTlAu10
1.0
-2.0433 -3.6282 1.9934
5.1284 -2.4648 0.7706
0.7930 4.4186 8.8549
K Tl Au
1 1 10
direct
0.0000 0.0000 0.0000
0.0000 0.5000 0.5000
0.0000 0.0000 0.3375
0.0000 0.5000 0.8232
0.0000 0.5000 0.1768
0.0000 0.0000 0.6625
0.5000 0.0000 0.5000
0.5000 0.5000 0.0000
0.5000 0.2461 0.2459
0.5000 0.7539 0.7541
0.5000 0.7539 0.2459
0.5000 0.2461 0.7541
```

Computed properties:
formation enthalpy at 0 K = -0.110 eV/atom
VASP energy = -3.130 eV per atom



[20]
Here is Na2TcTe after structural relaxation from Alexandria via LeMat-Bulk. Energies are from PBE.

```
Na2TcTe
1.0
8.7149 0.0000 0.0000
0.0000 8.7149 0.0000
4.3574 4.3574 2.7177
Na Te Tc
4 2 2
direct
0.6319 0.1250 0.2500
0.1181 0.6250 0.2500
0.3750 0.3681 0.7500
0.8750 0.8819 0.7500
0.0000 0.0000 0.0000
0.7500 0.2500 0.5000
0.5000 0.5000 0.0000
0.2500 0.7500 0.5000
```

Computed properties:
formation energy without anion corrections = 0.5183 eV/atom
VASP energy = -3.518 eV per atom



| no. | total magnetization (μB per formula unit) |
| --- | --- |
| 1 | 0.00 |
| 2 | 0.00 |
| 3 | 0.00 |
| 4 | 2.83 |
| 5 | 0.11 |
| 6 | 6.40 |
| 7 | 0.00 |
| 8 | 0.80 |
| 9 | 0.00 |
| 10 | 0.00 |
| 11 | 0.00 |
| 12 | 0.00 |
| 13 | 7.88 |
| 14 | 3.23 |
| 15 | 0.00 |
| 16 | 0.69 |
| 17 | 1.65 |
| 18 | 0.00 |
| 19 | 0.00 |
| 20 | 3.00 |